No. 1
DFT (PBE) results for a geometry-optimized Be2VHPt structure.

Summary:
The calculation puts the energy above the lowest structure with this stoichiometry at 0 meV/atom. The raw total energy comes out at -5.41 eV/atom.

Cell lengths 3.7493, 3.7493, 3.4287 Å; angles 90.00, 90.00, 90.00 degrees
With the nearest neighbours (Å) after each atom.
Positions (direct):
Be 0.0000 0.5000 0.0000  2 H 1.87
Be 0.5000 0.0000 0.0000  2 H 1.87
H 0.0000 0.0000 0.0000  2 V 1.71, 4 Be 1.87
Pt 0.5000 0.5000 0.5000  8 Be 2.54, 4 V 2.65
V 0.0000 0.0000 0.5000  2 H 1.71

No. 2
DFT (PBE) results for a geometry-optimized Ba2SrLa structure.

Summary:
The calculation puts the energy above the lowest structure with this stoichiometry at 11 meV/atom. The raw total energy comes out at -2.49 eV/atom.

Cell lengths 4.0621, 4.0621, 13.4313 Å; angles 90.00, 90.00, 110.16 degrees
With the nearest neighbours (Å) after each atom.
Positions (direct):
Ba 0.0000 0.0000 0.0122  2 La 3.95, 4 Ba 4.06, 2 Sr 4.22
Ba 0.0000 0.0000 0.4878  2 La 3.95, 4 Ba 4.06, 2 Sr 4.22
La 0.5000 0.5000 0.2500  4 Ba 3.95, 4 La 4.06
Sr 0.5000 0.5000 0.7500  4 Sr 4.06, 4 Ba 4.22

No. 3
DFT (PBE) results for a geometry-optimized Mo4C3 structure.

Summary:
The raw total energy comes out at -9.64 eV/atom.

Cell lengths 4.5178, 4.5178, 4.5178 Å; angles 90.00, 90.00, 90.00 degrees
With the nearest neighbours (Å) after each atom.
Positions (direct):
Mo 0.2245 0.7755 0.2245  3 C 2.03
Mo 0.7755 0.2245 0.2245  3 C 2.03
Mo 0.7755 0.7755 0.7755  3 C 2.03
Mo 0.2245 0.2245 0.7755  3 C 2.03
C 0.5000 0.0000 0.5000  4 Mo 2.03
C 0.5000 0.5000 0.0000  4 Mo 2.03
C 0.0000 0.5000 0.5000  4 Mo 2.03

No. 4
DFT (PBE) results for a geometry-optimized NaMnAs3 structure.

Summary:
The calculation puts the energy above the lowest structure with this stoichiometry at 1573 meV/atom. The raw total energy comes out at -3.22 eV/atom.

Cell lengths 4.8830, 4.8830, 4.8830 Å; angles 90.00, 90.00, 90.00 degrees
With the nearest neighbours (Å) after each atom.
Positions (direct):
Na 0.0000 0.0000 0.0000  6 As 2.44
As 0.0000 0.5000 0.0000  2 Na 2.44
As 0.0000 0.0000 0.5000  2 Na 2.44
As 0.5000 0.0000 0.0000  2 Na 2.44
Mn 0.5000 0.5000 0.5000  12 As 3.45

No. 5
DFT (PBE) results for a geometry-optimized CeNd4Sm3Te8 structure.

Summary:
The raw total energy comes out at -5.42 eV/atom.

Cell lengths 8.9552, 8.9568, 8.9514 Å; angles 119.96, 120.01, 90.00 degrees
With the nearest neighbours (Å) after each atom.
Positions (direct):
Ce 0.0000 0.5000 0.0000  6 Te 3.16
Nd 0.5000 0.0000 0.0000  6 Te 3.17
Nd 0.5000 0.0000 0.5000  6 Te 3.18-3.19
Nd 0.0000 0.0000 0.0000  6 Te 3.19
Nd 0.0000 0.0000 0.5000  6 Te 3.18-3.19
Sm 0.5000 0.5000 0.0000  6 Te 3.15
Sm 0.5000 0.5000 0.5000  6 Te 3.15
Sm 0.0000 0.5000 0.5000  6 Te 3.15
Te 0.2494 0.7464 0.9970  2 Sm 3.15, 1 Ce 3.16, 3 Nd 3.17-3.19
Te 0.2494 0.7464 0.4987  2 Sm 3.15, 1 Ce 3.16, 3 Nd 3.17-3.19
Te 0.2515 0.2545 0.5030  3 Sm 3.15, 3 Nd 3.19
Te 0.7477 0.7464 0.9970  2 Sm 3.15, 1 Ce 3.16, 3 Nd 3.17-3.19
Te 0.2523 0.2536 0.0030  2 Sm 3.15, 1 Ce 3.16, 3 Nd 3.17-3.19
Te 0.7485 0.7455 0.4970  3 Sm 3.15, 3 Nd 3.19
Te 0.7506 0.2536 0.5013  2 Sm 3.15, 1 Ce 3.16, 3 Nd 3.17-3.19
Te 0.7506 0.2536 0.0030  2 Sm 3.15, 1 Ce 3.16, 3 Nd 3.17-3.19

No. 6
DFT (PBE) results for a geometry-optimized Sc3Zn2Ga structure.

Summary:
The calculation puts the energy above the lowest structure with this stoichiometry at 0 meV/atom. The raw total energy comes out at -4.56 eV/atom.

Cell lengths 4.7352, 4.7352, 5.8159 Å; angles 90.00, 90.00, 120.00 degrees
With the nearest neighbours (Å) after each atom.
Positions (direct):
Sc 0.0000 0.0000 0.5000  6 Zn 2.88, 2 Ga 2.91
Sc 0.6667 0.3333 0.8348  5 Zn 2.85-2.97, 3 Ga 2.90
Sc 0.3333 0.6667 0.1652  5 Zn 2.85-2.97, 3 Ga 2.90
Zn 0.6667 0.3333 0.3447  8 Sc 2.85-2.97
Zn 0.3333 0.6667 0.6553  8 Sc 2.85-2.97
Ga 0.0000 0.0000 0.0000  8 Sc 2.90-2.91

Q: Look up the raw total energy of the second one.
A: -2.49 eV/atom